Record 1
The following is a DFT calculation (PBE) of an optimized crystal structure of Sr2BiAs. Values from VASP.

* raw total energy: -3.756 eV/atom
* DOS at the Fermi energy: 4.4 states/eV/f.u.
* space group: R-3m, No. 166

```
&SYSTEM
  ibrav = 0, nat = 4, ntyp = 3
/
ATOMIC_SPECIES
Bi 208.98 Bi.upf
Sr 87.62 Sr.upf
As 74.92 As.upf
ATOMIC_POSITIONS crystal
Bi 0.500 0.500 0.500
Sr 0.735 0.735 0.796
Sr 0.265 0.265 0.204
As 0.000 0.000 0.000
CELL_PARAMETERS angstrom
-4.041 0.640 1.218
-1.744 -2.484 3.001
0.910 5.127 7.808
```

---

Record 2
The following is a DFT calculation (PBE) of an optimized crystal structure of SrBiAs3. Values from VASP.

* raw total energy: -3.630 eV/atom
* DOS at the Fermi energy: 9.3 states/eV/f.u.
* space group: Pm-3m, No. 221
* E above lowest polymorph: 0.000 eV/atom

```
&SYSTEM
  ibrav = 0, nat = 5, ntyp = 3
/
ATOMIC_SPECIES
As 74.92 As.upf
Bi 208.98 Bi.upf
Sr 87.62 Sr.upf
ATOMIC_POSITIONS crystal
As 0.000 0.000 0.500
Bi 0.000 0.000 0.000
As 0.500 0.000 0.000
As 0.000 0.500 0.000
Sr 0.500 0.500 0.500
CELL_PARAMETERS angstrom
5.478 0.000 0.000
0.000 5.478 0.000
0.000 0.000 5.478
```

---

Record 3
The following is a DFT calculation (PBE) of an optimized crystal structure of Sr4BiAs. Values from VASP.

* raw total energy: -3.311 eV/atom
* DOS at the Fermi energy: 2.9 states/eV/f.u.
* space group: P4/mmm, No. 123

```
&SYSTEM
  ibrav = 0, nat = 12, ntyp = 3
/
ATOMIC_SPECIES
Sr 87.62 Sr.upf
Bi 208.98 Bi.upf
As 74.92 As.upf
ATOMIC_POSITIONS crystal
Sr 0.866 0.867 0.733
Bi 0.250 0.250 0.000
Sr 0.634 0.134 0.267
Sr 0.633 0.633 0.267
Sr 0.866 0.366 0.732
As 0.500 0.000 0.500
Sr 0.134 0.634 0.268
Sr 0.367 0.367 0.733
Sr 0.366 0.866 0.733
Bi 0.750 0.750 0.000
Sr 0.134 0.133 0.267
As 0.000 0.500 0.500
CELL_PARAMETERS angstrom
-3.478 6.080 3.207
1.296 -2.947 6.998
7.932 2.182 -4.791
```

---

Record 4
The following is a DFT calculation (PBE) of an optimized crystal structure of Sr7Bi2As2. Values from VASP.

* raw total energy: -3.422 eV/atom
* DOS at the Fermi energy: 4.5 states/eV/f.u.
* space group: Cmmm, No. 65

```
&SYSTEM
  ibrav = 0, nat = 11, ntyp = 3
/
ATOMIC_SPECIES
Bi 208.98 Bi.upf
Sr 87.62 Sr.upf
As 74.92 As.upf
ATOMIC_POSITIONS crystal
Bi 0.221 0.500 0.221
Sr 0.000 0.753 0.500
Sr 0.000 0.247 0.500
Sr 0.500 0.247 0.000
Sr 0.500 0.761 0.500
Sr 0.500 0.239 0.500
Sr 0.500 0.753 0.000
As 0.727 0.000 0.273
Sr 0.000 0.000 0.000
Bi 0.779 0.500 0.779
As 0.273 0.000 0.727
CELL_PARAMETERS angstrom
-5.901 0.026 4.876
-1.412 -7.385 -1.669
5.383 -2.159 4.997
```

---

Question: Which of these has the lowest DOS at the Fermi energy?
Answer: Sr4BiAs